Density functional theory data (PBE with a Hubbard U) for crystalline CsMn2As2O6 at its relaxed geometry.

Calculated values
- V (Å³ per cell) = 218
- energy (eV per atom) = -6.45
- mass density (g/cm3) = 3.71
- DOS at the Fermi energy (states/eV per cell) = 1.62

Lattice parameters (Å, degrees): 5.7729 7.6857 5.7061 107.45 85.29 67.97
Last column: magnetic moment on the atom in μB.
Positions (direct):
Cs 0.5000 0.0000 0.5000  0.00
Mn 0.7708 0.4796 0.8486  4.55
Mn 0.2292 0.5204 0.1514  4.55
As 0.0890 0.7751 0.8196  -0.08
As 0.9110 0.2249 0.1804  -0.08
O 0.3790 0.5964 0.8513  -0.04
O 0.1190 0.2905 0.0110  -0.01
O 0.0538 0.7083 0.5077  -0.08
O 0.8810 0.7095 0.9890  -0.01
O 0.9462 0.2917 0.4923  -0.08
O 0.6210 0.4036 0.1487  -0.04